(1)
PaZnCuGe | PBE | optimized geometry

Calculated volume: 73.33 Å³/f.u.
Energy of formation from the pure elements: -0.3 eV/f.u.
Crystal system: cubic

abc: 6.644 6.644 6.644
angles: 90.00 90.00 90.00
Space group F-43m (No. 216)
One atom of each set of equivalent atoms:
Pa 0.000 0.000 0.000 [4 per cell]
Zn 0.000 0.000 0.500 [4 per cell]
Cu 0.250 0.250 0.750 [4 per cell]
Ge 0.250 0.250 0.250 [4 per cell]

=====

(2)
CaZnOs2O8 | PBE | optimized geometry

Calculated volume: 147.38 Å³/f.u.
ΔE_f (raw): -1.3516 eV per atom
Crystal system: orthorhombic

abc: 6.704 6.897 6.374
angles: 90.00 90.00 90.00
Space group Cmmm (No. 65)
One atom of each set of equivalent atoms:
Ca 0.000 0.000 0.000 [2 per cell]
Zn 0.000 0.000 0.500 [2 per cell]
Os 0.000 0.500 0.255 [4 per cell]
O 0.000 0.312 0.500 [4 per cell]
O 0.000 0.329 0.000 [4 per cell]
O 0.228 0.000 0.268 [8 per cell]

=====

Repeat the first record exactly.
PaZnCuGe | PBE | optimized geometry

Calculated volume: 73.33 Å³/f.u.
Energy of formation from the pure elements: -0.3 eV/f.u.
Crystal system: cubic

abc: 6.644 6.644 6.644
angles: 90.00 90.00 90.00
Space group F-43m (No. 216)
One atom of each set of equivalent atoms:
Pa 0.000 0.000 0.000 [4 per cell]
Zn 0.000 0.000 0.500 [4 per cell]
Cu 0.250 0.250 0.750 [4 per cell]
Ge 0.250 0.250 0.250 [4 per cell]

=====

Q: Which of these has the lowest calculated volume?
A: PaZnCuGe

=====

Q: calculated volume of number 1 (PaZnCuGe)?
A: 73.33 Å³/f.u.

=====

Q: Among the records above, which one has the lowest calculated volume?
A: PaZnCuGe